The following is a PBE calculation of Pr2GaTc after structural relaxation, from the Alexandria database.

abc: 10.7078 10.7078 10.7078
angles: 17.82 17.82 17.82
Sites, in units of the cell vectors:
1 Pr 0.0859 0.0859 0.0859
2 Pr 0.9141 0.9141 0.9141
3 Ga 0.5000 0.5000 0.5000
4 Tc 0.0000 0.0000 0.0000

Output
formation energy: 561 meV per atom
total moment: 1.2 Bohr magnetons per cell
DOS(E_F): 5.63 states/eV/cell

=====

The following is a PBE calculation of YEr4Tm3 after structural relaxation, from the Alexandria database.

abc: 3.5127 7.0088 9.9151
angles: 90.00 90.00 90.00
Sites, in units of the cell vectors:
1 Y 0.0000 0.0000 0.0000
2 Er 0.5000 0.2511 0.2517
3 Er 0.5000 0.2511 0.7483
4 Er 0.5000 0.7489 0.2517
5 Er 0.5000 0.7489 0.7483
6 Tm 0.0000 0.0000 0.5000
7 Tm 0.0000 0.5000 0.0000
8 Tm 0.0000 0.5000 0.5000

Output
formation energy: 28 meV per atom
E above lowest polymorph: 0.030 eV/atom
total moment: 0.0 Bohr magnetons per cell
DOS(E_F): 11.92 states/eV/cell

=====

The following is a PBE calculation of AcPuPb2O6 after structural relaxation, from the Alexandria database.

abc: 6.1188 6.2628 6.3688
angles: 91.35 116.53 118.70
Sites, in units of the cell vectors:
1 Ac 0.0000 0.0000 0.0000
2 Pu 0.9725 0.4790 0.4810
3 Pb 0.5110 0.3157 0.7153
4 Pb 0.5750 0.8069 0.3207
5 O 0.0162 0.6624 0.7821
6 O 0.4678 0.6648 0.6466
7 O 0.5010 0.2514 0.3498
8 O 0.8819 0.2570 0.1788
9 O 0.9013 0.7404 0.2778
10 O 0.9833 0.1742 0.6488

Output
total moment: 3.0 Bohr magnetons per cell
formation energy without anion corrections: -2240 meV/atom
DOS(E_F): 7.51 states/eV/cell

=====

The following is a PBE calculation of AcTbDyMg after structural relaxation, from the Alexandria database.

abc: 5.6999 5.6999 5.6999
angles: 60.00 60.00 60.00
Sites, in units of the cell vectors:
1 Ac 0.0000 0.0000 0.0000
2 Tb 0.2500 0.2500 0.2500
3 Dy 0.7500 0.7500 0.7500
4 Mg 0.5000 0.5000 0.5000

Output
formation energy: 143 meV per atom
total moment: 0.0 Bohr magnetons per cell
DOS(E_F): 6.60 states/eV/cell

=====

The following is a PBE calculation of Te3Ir5 after structural relaxation, from the Alexandria database.

abc: 5.8488 5.8488 4.1995
angles: 90.00 90.00 96.38
Sites, in units of the cell vectors:
1 Te 0.0000 0.0000 0.0000
2 Te 0.2933 0.7067 0.5000
3 Te 0.7067 0.2933 0.5000
4 Ir 0.0000 0.5000 0.0000
5 Ir 0.2469 0.2469 0.5000
6 Ir 0.5000 0.0000 0.0000
7 Ir 0.5000 0.5000 0.0000
8 Ir 0.7531 0.7531 0.5000

Output
E above lowest polymorph: 0.000 eV/atom
total moment: 0.0 Bohr magnetons per cell
formation energy without anion corrections: 476 meV/atom
DOS(E_F): 7.07 states/eV/cell

=====

The following is a PBE calculation of Sr2Li4Mg5 after structural relaxation, from the Alexandria database.

abc: 7.5672 7.5672 9.1871
angles: 127.33 127.33 48.67
Sites, in units of the cell vectors:
1 Sr 0.1972 0.1972 0.1975
2 Sr 0.8028 0.8028 0.8025
3 Li 0.2546 0.2546 0.5955
4 Li 0.2550 0.2550 0.9147
5 Li 0.7450 0.7450 0.0853
6 Li 0.7454 0.7454 0.4045
7 Mg 0.2523 0.7475 0.3167
8 Mg 0.2525 0.7477 0.6833
9 Mg 0.5000 0.5000 0.0000
10 Mg 0.7475 0.2523 0.3167
11 Mg 0.7477 0.2525 0.6833

Output
formation energy: -4 meV per atom
E above lowest polymorph: 0.000 eV/atom
total moment: 0.0 Bohr magnetons per cell
DOS(E_F): 6.24 states/eV/cell

=====

The following is a PBE calculation of CsK2Pt after structural relaxation, from the Alexandria database.

abc: 5.9394 5.9394 5.9394
angles: 60.00 60.00 60.00
Sites, in units of the cell vectors:
1 Cs 0.0000 0.0000 0.0000
2 K 0.2500 0.2500 0.2500
3 K 0.7500 0.7500 0.7500
4 Pt 0.5000 0.5000 0.5000

Output
formation energy: 170 meV per atom
E above lowest polymorph: 0.101 eV/atom
total moment: 0.0 Bohr magnetons per cell
DOS(E_F): 4.06 states/eV/cell

=====

The following is a PBE calculation of ZrTe2H after structural relaxation, from the Alexandria database.

abc: 3.6109 3.6109 8.3911
angles: 102.02 102.02 59.96
Sites, in units of the cell vectors:
1 Zr 0.0000 0.0000 0.0000
2 Te 0.5818 0.5818 0.7363
3 Te 0.7515 0.7515 0.2632
4 H 0.3331 0.3331 0.9996

Output
E above lowest polymorph: 0.000 eV/atom
total moment: 0.0 Bohr magnetons per cell
DOS(E_F): 3.22 states/eV/cell

=====

The calculation returns the following calculated density values, one per record and in order: 7.4; 8.6; 8.9; 7.3; 15.6; 1.8; 4.6; 6.3 g/cm3.
The calculation returns the following DFT total energy values, one per record and in order: -0.1902; -0.1741; -0.2867; -0.1320; -0.2293; -0.0636; -0.0772; -0.1909 Ha/atom.
The calculation returns the following V values, one per record and in order: 25.092; 30.513; 18.250; 32.736; 17.846; 26.803; 37.038; 22.982 Å³/atom.